Entry from Alexandria: InCu2MoO6 after structural relaxation (PBE with a Hubbard U).

Final energy (Ry per atom): -0.4342
M_tot (μB per atom): 0.11
Crystal system: monoclinic

Lattice parameters (Å, degrees): 10.0387 9.1943 5.4621 90.00 96.00 90.00
Last column: nearest neighbours and their distance in Å.
Space group C2/c (No. 15)
Unique sites:
In1 0.0000 0.0871 0.2500  6 O 2.18-2.21
Cu1 0.2007 0.3943 0.2854  4 O 1.94-2.13
Mo1 0.0000 0.2950 0.7500  4 O 1.84-1.94
O1 0.1019 0.2577 0.0650  1 Mo 1.94, 1 Cu 1.94
O2 0.1078 0.1016 0.6176  1 Cu 1.94
O3 0.1248 0.4156 0.6327  1 Mo 1.84, 1 Cu 2.05